--- i ---
Mn2ReAu | PBE-GGA | optimized geometry

Size of the total moment = 12.02 μB per cell

abc: 2.7665 2.7665 26.3541
angles: 90.00 90.00 120.00
Space group R3m (No. 160, hexagonal axes)
Inequivalent atoms, fractional coordinates:
Mn: 0.0000 0.0000 0.0000 x3
Mn: 0.0000 0.0000 0.2575 x3
Re: 0.0000 0.0000 0.7406 x3
Au: 0.0000 0.0000 0.5033 x3

--- ii ---
Mn2ReAu | PBE-GGA | optimized geometry

Size of the total moment = 2.82 μB per cell

abc: 8.731 2.737 4.829
angles: 90.00 100.71 90.00
Space group C2/m (No. 12)
Inequivalent atoms, fractional coordinates:
Mn: 0.244 0.000 0.195 x4
Re: 0.000 0.500 0.000 x2
Au: 0.000 0.000 0.500 x2

--- iii ---
Mn2ReAu | PBE-GGA | optimized geometry

Size of the total moment = 19.50 μB per cell

abc: 6.193 6.193 6.193
angles: 90.00 90.00 90.00
Space group F-43m (No. 216)
Inequivalent atoms, fractional coordinates:
Mn: 0.000 0.000 0.000 x4
Mn: 0.250 0.250 0.250 x4
Re: 0.250 0.250 0.750 x4
Au: 0.000 0.000 0.500 x4

It comes down to i, which is 88 meV/atom more stable than the next structure.

--- i ---
Mn2ReAu | PBE-GGA | optimized geometry

Size of the total moment = 0.00 μB per cell

abc: 6.010 6.010 6.010
angles: 90.00 90.00 90.00
Space group Fm-3m (No. 225)
Inequivalent atoms, fractional coordinates:
Mn: 0.250 0.250 0.250 x8
Re: 0.000 0.000 0.000 x4
Au: 0.000 0.000 0.500 x4

--- ii ---
Mn2ReAu | PBE-GGA | optimized geometry

Size of the total moment = 2.68 μB per cell

abc: 2.738 2.738 7.635
angles: 90.00 90.00 90.00
Space group P4mm (No. 99)
Inequivalent atoms, fractional coordinates:
Mn: 0.000 0.000 0.000 x1
Mn: 0.500 0.500 0.216 x1
Re: 0.000 0.000 0.432 x1
Au: 0.500 0.500 0.726 x1

It comes down to ii, which is 237 meV/atom more stable than the next structure.

--- i ---
Mn2ReAu | PBE-GGA | optimized geometry

Size of the total moment = 2.76 μB per cell

abc: 3.922 3.922 3.596
angles: 90.00 90.00 90.00
Space group P4/mmm (No. 123)
Inequivalent atoms, fractional coordinates:
Mn: 0.000 0.500 0.000 x2
Re: 0.000 0.000 0.500 x1
Au: 0.500 0.500 0.500 x1

--- ii ---
Mn2ReAu | PBE-GGA | optimized geometry

Size of the total moment = 18.14 μB per cell

abc: 2.8586 2.8586 25.6518
angles: 90.00 90.00 120.00
Space group R-3m (No. 166, hexagonal axes)
Inequivalent atoms, fractional coordinates:
Mn: 0.0000 0.0000 0.2456 x6
Re: 0.0000 0.0000 0.5000 x3
Au: 0.0000 0.0000 0.0000 x3

It comes down to ii, which is 94 meV/atom more stable than the next structure.

--- i ---
Mn2ReAu | PBE-GGA | optimized geometry

Size of the total moment = 5.64 μB per cell

abc: 2.828 2.828 7.425
angles: 90.00 90.00 90.00
Space group P4/mmm (No. 123)
Inequivalent atoms, fractional coordinates:
Mn: 0.000 0.000 0.229 x2
Re: 0.500 0.500 0.000 x1
Au: 0.500 0.500 0.500 x1

--- ii ---
Mn2ReAu | PBE-GGA | optimized geometry

Size of the total moment = 8.71 μB per cell

abc: 3.776 3.776 8.031
angles: 90.00 90.00 90.00
Space group I-4m2 (No. 119)
Inequivalent atoms, fractional coordinates:
Mn: 0.000 0.000 0.000 x2
Mn: 0.000 0.500 0.250 x2
Re: 0.000 0.500 0.750 x2
Au: 0.000 0.000 0.500 x2

It comes down to i, which is 161 meV/atom more stable than the next structure.

--- i ---
MnRe2Au | PBE-GGA | optimized geometry

Size of the total moment = 4.91 μB per cell

abc: 9.151 2.737 4.889
angles: 90.00 99.70 90.00
Space group Cm (No. 8)
Inequivalent atoms, fractional coordinates:
Mn: 0.000 0.000 0.000 x2
Re: 0.009 0.500 0.520 x2
Re: 0.265 0.000 0.738 x2
Au: 0.253 0.500 0.233 x2

--- ii ---
MnRe2Au | PBE-GGA | optimized geometry

Size of the total moment = 6.43 μB per cell

abc: 3.061 4.490 9.007
angles: 90.00 90.00 90.00
Space group Cmm2 (No. 35)
Inequivalent atoms, fractional coordinates:
Mn: 0.000 0.000 0.000 x2
Re: 0.000 0.000 0.529 x2
Re: 0.000 0.500 0.770 x2
Au: 0.000 0.500 0.251 x2

--- iii ---
MnRe2Au | PBE-GGA | optimized geometry

Size of the total moment = 4.76 μB per cell

abc: 2.867 4.383 9.795
angles: 90.00 90.00 90.00
Space group Immm (No. 71)
Inequivalent atoms, fractional coordinates:
Mn: 0.000 0.000 0.000 x2
Re: 0.000 0.500 0.287 x4
Au: 0.000 0.000 0.500 x2

It comes down to ii, which is 12 meV/atom more stable than the next structure.

--- i ---
MnRe2Au | PBE-GGA | optimized geometry

Size of the total moment = 3.61 μB per cell

abc: 5.414 8.060 2.727
angles: 90.00 90.00 90.00
Space group Cmmm (No. 65)
Inequivalent atoms, fractional coordinates:
Mn: 0.000 0.000 0.000 x2
Re: 0.250 0.250 0.500 x4
Au: 0.000 0.500 0.000 x2

--- ii ---
MnRe2Au | PBE-GGA | optimized geometry

Size of the total moment = 4.83 μB per cell

abc: 3.808 3.808 8.240
angles: 90.00 90.00 90.00
Space group I4/mmm (No. 139)
Inequivalent atoms, fractional coordinates:
Mn: 0.000 0.000 0.000 x2
Re: 0.000 0.500 0.250 x4
Au: 0.000 0.000 0.500 x2

--- iii ---
MnRe2Au | PBE-GGA | optimized geometry

Size of the total moment = 0.00 μB per cell

abc: 2.758 3.823 5.591
angles: 90.00 90.12 90.00
Space group P2/m (No. 10)
Inequivalent atoms, fractional coordinates:
Mn: 0.000 0.000 0.000 x1
Re: 0.498 0.500 0.215 x2
Au: 0.000 0.000 0.500 x1

It comes down to iii, which is 73 meV/atom more stable than the next structure.

--- i ---
MnRe2Au | PBE-GGA | optimized geometry

Size of the total moment = 2.68 μB per cell

abc: 2.797 3.896 5.611
angles: 90.00 90.46 90.00
Space group Pm (No. 6)
Inequivalent atoms, fractional coordinates:
Mn: 0.000 0.000 0.000 x1
Re: 0.013 0.000 0.541 x1
Re: 0.487 0.500 0.752 x1
Au: 0.501 0.500 0.250 x1

--- ii ---
MnRe2Au | PBE-GGA | optimized geometry

Size of the total moment = 3.58 μB per cell

abc: 9.207 2.807 4.713
angles: 90.00 101.86 90.00
Space group C2/m (No. 12)
Inequivalent atoms, fractional coordinates:
Mn: 0.000 0.000 0.000 x2
Re: 0.241 0.500 0.234 x4
Au: 0.000 0.500 0.500 x2

It comes down to i, which is 70 meV/atom more stable than the next structure.

--- i ---
MnRe2Au | PBE-GGA | optimized geometry

Size of the total moment = 2.43 μB per cell

abc: 3.813 3.813 4.098
angles: 90.00 90.00 90.00
Space group P4/mmm (No. 123)
Inequivalent atoms, fractional coordinates:
Mn: 0.000 0.000 0.000 x1
Re: 0.000 0.500 0.500 x2
Au: 0.500 0.500 0.000 x1

--- ii ---
MnRe2Au | PBE-GGA | optimized geometry

Size of the total moment = 8.08 μB per cell

abc: 6.224 6.224 6.224
angles: 90.00 90.00 90.00
Space group Fm-3m (No. 225)
Inequivalent atoms, fractional coordinates:
Mn: 0.000 0.000 0.000 x4
Re: 0.250 0.250 0.250 x8
Au: 0.000 0.000 0.500 x4

--- iii ---
MnRe2Au | PBE-GGA | optimized geometry

Size of the total moment = 0.00 μB per cell

abc: 7.037 7.037 5.173
angles: 90.00 90.00 90.00
Space group I-42d (No. 122)
Inequivalent atoms, fractional coordinates:
Mn: 0.000 0.000 0.000 x4
Re: 0.192 0.250 0.125 x8
Au: 0.000 0.000 0.500 x4

--- iv ---
MnRe2Au | PBE-GGA | optimized geometry

Size of the total moment = 3.20 μB per cell

abc: 2.822 2.822 7.755
angles: 90.00 90.00 90.00
Space group P4mm (No. 99)
Inequivalent atoms, fractional coordinates:
Mn: 0.000 0.000 0.000 x1
Re: 0.000 0.000 0.463 x1
Re: 0.500 0.500 0.235 x1
Au: 0.500 0.500 0.741 x1

It comes down to iv, which is 98 meV/atom more stable than the next structure.

--- i ---
MnRe2Au | PBE-GGA | optimized geometry

Size of the total moment = 11.16 μB per cell

abc: 2.8256 2.8256 27.0025
angles: 90.00 90.00 120.00
Space group R3m (No. 160, hexagonal axes)
Inequivalent atoms, fractional coordinates:
Mn: 0.0000 0.0000 0.0000 x3
Re: 0.0000 0.0000 0.4914 x3
Re: 0.0000 0.0000 0.7472 x3
Au: 0.0000 0.0000 0.2499 x3

--- ii ---
MnRe2Au | PBE-GGA | optimized geometry

Size of the total moment = 0.00 μB per cell

abc: 2.724 2.724 7.862
angles: 90.00 90.00 90.00
Space group P4/mmm (No. 123)
Inequivalent atoms, fractional coordinates:
Mn: 0.000 0.000 0.000 x1
Re: 0.500 0.500 0.218 x2
Au: 0.000 0.000 0.500 x1

--- iii ---
MnRe2Au | PBE-GGA | optimized geometry

Size of the total moment = 3.76 μB per cell

abc: 3.114 4.323 8.970
angles: 90.00 90.00 90.00
Space group Cmmm (No. 65)
Inequivalent atoms, fractional coordinates:
Mn: 0.000 0.000 0.000 x2
Re: 0.000 0.500 0.225 x4
Au: 0.000 0.000 0.500 x2

It comes down to i, which is 100 meV/atom more stable than the next structure.

--- i ---
MnRe2Au | PBE-GGA | optimized geometry

Size of the total moment = 1.89 μB per cell

abc: 2.7510 2.7510 27.1308
angles: 90.00 90.00 120.00
Space group R-3m (No. 166, hexagonal axes)
Inequivalent atoms, fractional coordinates:
Mn: 0.0000 0.0000 0.0000 x3
Re: 0.0000 0.0000 0.2586 x6
Au: 0.0000 0.0000 0.5000 x3

--- ii ---
MnRe2Au | PBE-GGA | optimized geometry

Size of the total moment = 12.16 μB per cell

abc: 6.269 6.269 6.269
angles: 90.00 90.00 90.00
Space group F-43m (No. 216)
Inequivalent atoms, fractional coordinates:
Mn: 0.000 0.000 0.000 x4
Re: 0.000 0.000 0.500 x4
Re: 0.250 0.250 0.750 x4
Au: 0.250 0.250 0.250 x4

It comes down to i, which is 166 meV/atom more stable than the next structure.

--- i ---
MnRhAu | PBE-GGA | optimized geometry

Size of the total moment = 8.11 μB per cell

abc: 3.065 3.065 9.922
angles: 90.00 90.00 90.00
Space group I4mm (No. 107)
Inequivalent atoms, fractional coordinates:
Mn: 0.000 0.000 0.000 x2
Rh: 0.000 0.000 0.639 x2
Au: 0.000 0.000 0.329 x2

--- ii ---
MnRhAu | PBE-GGA | optimized geometry

Size of the total moment = 15.63 μB per cell

abc: 5.937 5.937 5.937
angles: 90.00 90.00 90.00
Space group F-43m (No. 216)
Inequivalent atoms, fractional coordinates:
Mn: 0.000 0.000 0.000 x4
Rh: 0.250 0.250 0.750 x4
Au: 0.250 0.250 0.250 x4

--- iii ---
MnRhAu | PBE-GGA | optimized geometry

Size of the total moment = 4.26 μB per cell

abc: 2.8775 2.8775 6.5764
angles: 90.00 90.00 120.00
Space group P3m1 (No. 156)
Inequivalent atoms, fractional coordinates:
Mn: 0.0000 0.0000 0.0000 x1
Rh: 0.6667 0.3333 0.2995 x1
Au: 0.3333 0.6667 0.6629 x1

It comes down to i, which is 82 meV/atom more stable than the next structure.

--- i ---
MnRh3Au | PBE-GGA | optimized geometry

Size of the total moment = 1.12 μB per cell

abc: 4.814 4.814 4.814
angles: 90.00 90.00 90.00
Space group Pm-3m (No. 221)
Inequivalent atoms, fractional coordinates:
Mn: 0.000 0.000 0.000 x1
Rh: 0.000 0.500 0.500 x3
Au: 0.500 0.500 0.500 x1

--- ii ---
MnRh3Au | PBE-GGA | optimized geometry

Size of the total moment = 0.00 μB per cell

abc: 4.426 4.426 4.426
angles: 90.00 90.00 90.00
Space group Pm-3m (No. 221)
Inequivalent atoms, fractional coordinates:
Mn: 0.000 0.000 0.000 x1
Rh: 0.000 0.000 0.500 x3
Au: 0.500 0.500 0.500 x1

It comes down to ii, which is 1330 meV/atom more stable than the next structure.